Record 1
MgCd2 after structural relaxation. Source: Alexandria via LeMat-Bulk, functional PBEsol.

```
data_MgCd2
_space_group_name_H-M_alt 'C 1 2/c 1'
_space_group_IT_number 15
_space_group_name_Hall '-C 2yc'
_cell_length_a 9.1022
_cell_length_b 5.1970
_cell_length_c 6.1438
_cell_angle_alpha 90.00
_cell_angle_beta 121.59
_cell_angle_gamma 90.00
loop_
_atom_site_label
_atom_site_type_symbol
_atom_site_fract_x
_atom_site_fract_y
_atom_site_fract_z
Mg1 Mg 0.0000 0.0862 0.2500
Cd1 Cd 0.1659 0.4130 0.7416
```

Computed properties:
N(E_F) = 0.8 states/eV/f.u.
Energy of formation from the pure elements = -0.0970 eV/atom
E = -1.47 eV per atom



Record 2
KGaSe2N after structural relaxation. Source: Alexandria via LeMat-Bulk, functional PBEsol.

```
data_KGaSe2N
_space_group_name_H-M_alt 'P 4/m m m'
_space_group_IT_number 123
_space_group_name_Hall '-P 4 2'
_cell_length_a 5.8092
_cell_length_b 5.8092
_cell_length_c 4.9364
_cell_angle_alpha 90.00
_cell_angle_beta 90.00
_cell_angle_gamma 90.00
loop_
_atom_site_label
_atom_site_type_symbol
_atom_site_fract_x
_atom_site_fract_y
_atom_site_fract_z
K1 K 0.0000 0.0000 0.0000
Ga1 Ga 0.5000 0.5000 0.5000
Se1 Se 0.0000 0.5000 0.0000
N1 N 0.0000 0.0000 0.5000
```

Computed properties:
N(E_F) = 4.2 states/eV/f.u.
Formation energy (no corrections) = 1425 meV per atom
E = -2.71 eV per atom